1.
Cd3In8Hg8 | GGA-PBE | optimized geometry

```
data_Cd3In8Hg8
_space_group_name_H-M_alt 'P -1'
_space_group_IT_number 2
_space_group_name_Hall '-P 1'
_cell_length_a 6.4375
_cell_length_b 8.1624
_cell_length_c 10.2914
_cell_angle_alpha 73.68
_cell_angle_beta 84.87
_cell_angle_gamma 88.11
loop_
_atom_site_label
_atom_site_fract_x
_atom_site_fract_y
_atom_site_fract_z
Cd1 0.0000 0.0000 0.0000
Cd2 0.0399 0.6326 0.7826
In1 0.2923 0.3033 0.9772
In2 0.3518 0.9905 0.7880
In3 0.3631 0.4051 0.6545
In4 0.3655 0.8123 0.5455
Hg1 0.1464 0.1911 0.4950
Hg2 0.1628 0.6106 0.3457
Hg3 0.1858 0.0199 0.2559
Hg4 0.2494 0.6586 0.0337
```

Computed properties:
Energy of formation (eV per atom): 0.04

=====

2.
Y4HoS2 | GGA-PBE | optimized geometry

```
data_Y4HoS2
_space_group_name_H-M_alt 'I m m m'
_space_group_IT_number 71
_space_group_name_Hall '-I 2 2'
_cell_length_a 3.7248
_cell_length_b 5.6764
_cell_length_c 18.1542
_cell_angle_alpha 90.00
_cell_angle_beta 90.00
_cell_angle_gamma 90.00
loop_
_atom_site_label
_atom_site_fract_x
_atom_site_fract_y
_atom_site_fract_z
Y1 0.0000 0.0000 0.0968
Y2 0.0000 0.0000 0.3149
Ho1 0.0000 0.5000 0.0000
S1 0.0000 0.5000 0.2955
```

Computed properties:
Energy relative to the elements, uncorrected (kJ/mol of formula units): -688.7

=====

| no. | magnetic moment (μB/f.u.) | Fermi-level density of states (states/eV/atom) |
| --- | --- | --- |
| 1 | 0.00 | 0.328 |
| 2 | 0.24 | 0.984 |